(1)
! NaNp2S6 (PBE, relaxed); values from VASP
&SYSTEM
  ibrav = 0, nat = 9, ntyp = 3
/
ATOMIC_SPECIES
Na 22.99 Na.upf
Np 237.00 Np.upf
S 32.06 S.upf
ATOMIC_POSITIONS crystal
Na 0.500 0.000 0.000
Np 0.000 0.667 0.333
Np 0.000 0.333 0.667
S 0.000 0.728 0.000
S 0.000 0.272 0.272
S 0.000 0.000 0.728
S 0.500 0.000 0.427
S 0.500 0.573 0.573
S 0.500 0.427 0.000
CELL_PARAMETERS angstrom
3.976 0.000 0.000
0.000 7.163 0.000
0.000 -3.582 6.204
! Size of the total moment   0.44 μB per atom
! ΔE_f (raw)   -812 meV/atom
! Crystal system   hexagonal

(2)
! PmErPa2Rh4 (PBE, relaxed); values from VASP
&SYSTEM
  ibrav = 0, nat = 8, ntyp = 4
/
ATOMIC_SPECIES
Pm 145.00 Pm.upf
Er 167.26 Er.upf
Pa 231.04 Pa.upf
Rh 102.91 Rh.upf
ATOMIC_POSITIONS crystal
Pm 0.929 0.929 0.000
Er 0.514 0.514 0.000
Pa 0.161 0.661 0.500
Pa 0.661 0.161 0.500
Rh 0.021 0.412 0.000
Rh 0.412 0.021 0.000
Rh 0.168 0.168 0.535
Rh 0.633 0.633 0.465
CELL_PARAMETERS angstrom
-5.377 1.804 0.030
-0.826 -0.743 -5.562
1.392 -5.643 3.703
! Size of the total moment   0.00 μB per atom
! Formation energy from the elements   -5.6 eV/f.u.
! Crystal system   orthorhombic

(3)
! Rb3NdB2O6 (PBE, relaxed); values from VASP
&SYSTEM
  ibrav = 0, nat = 12, ntyp = 4
/
ATOMIC_SPECIES
Rb 85.47 Rb.upf
Nd 144.24 Nd.upf
B 10.81 B.upf
O 16.00 O.upf
ATOMIC_POSITIONS crystal
Rb 0.333 0.667 0.748
Rb 0.667 0.333 0.252
Rb 0.000 0.000 0.000
Nd 0.000 0.000 0.500
B 0.667 0.333 0.696
B 0.333 0.667 0.304
O 0.614 0.807 0.305
O 0.193 0.386 0.305
O 0.193 0.807 0.305
O 0.807 0.614 0.695
O 0.386 0.193 0.695
O 0.807 0.193 0.695
CELL_PARAMETERS angstrom
5.762 0.000 0.000
-2.881 4.990 0.000
0.000 0.000 7.293
! Size of the total moment   0.00 μB per atom
! ΔE_f (raw)   -2408 meV/atom
! Crystal system   trigonal

(4)
! LiCa4Zn2Ga (PBE, relaxed); values from VASP
&SYSTEM
  ibrav = 0, nat = 8, ntyp = 4
/
ATOMIC_SPECIES
Li 6.94 Li.upf
Ca 40.08 Ca.upf
Zn 65.41 Zn.upf
Ga 69.72 Ga.upf
ATOMIC_POSITIONS crystal
Li 0.000 0.000 0.000
Ca 0.380 0.380 0.861
Ca 0.871 0.871 0.388
Ca 0.129 0.129 0.612
Ca 0.620 0.620 0.139
Zn 0.746 0.746 0.761
Zn 0.254 0.254 0.239
Ga 0.500 0.500 0.500
CELL_PARAMETERS angstrom
-2.944 2.645 3.443
-3.329 -2.577 3.129
4.187 -0.800 8.192
! Size of the total moment   0.00 μB per atom
! Formation energy from the elements   -1.9 eV/f.u.
! Crystal system   trigonal

(5)
! LaCeHo2Se4 (PBE, relaxed); values from VASP
&SYSTEM
  ibrav = 0, nat = 8, ntyp = 4
/
ATOMIC_SPECIES
La 138.91 La.upf
Ce 140.12 Ce.upf
Ho 164.93 Ho.upf
Se 78.96 Se.upf
ATOMIC_POSITIONS crystal
La 0.937 0.937 0.000
Ce 0.437 0.437 0.000
Ho 0.187 0.687 0.500
Ho 0.687 0.187 0.500
Se 0.937 0.437 0.000
Se 0.437 0.937 0.000
Se 0.190 0.190 0.505
Se 0.684 0.684 0.495
CELL_PARAMETERS angstrom
5.880 0.321 0.000
-0.319 5.880 0.000
-2.781 -3.101 5.888
! Size of the total moment   0.15 μB per atom
! ΔE_f (raw)   -1787 meV/atom
! Crystal system   tetragonal

(6)
! Mg5CdPb8 (PBE, relaxed); values from VASP
&SYSTEM
  ibrav = 0, nat = 14, ntyp = 3
/
ATOMIC_SPECIES
Mg 24.30 Mg.upf
Cd 112.41 Cd.upf
Pb 207.20 Pb.upf
ATOMIC_POSITIONS crystal
Mg 0.025 0.313 0.108
Mg 0.892 0.917 0.205
Mg 0.795 0.687 0.712
Mg 0.500 0.000 0.500
Mg 0.288 0.083 0.975
Cd 0.250 0.500 0.750
Pb 0.143 0.713 0.060
Pb 0.940 0.083 0.653
Pb 0.747 0.269 0.341
Pb 0.659 0.406 0.928
Pb 0.522 0.594 0.253
Pb 0.570 0.917 0.857
Pb 0.347 0.287 0.430
Pb 0.072 0.731 0.478
CELL_PARAMETERS angstrom
8.046 0.030 -0.052
-2.694 7.581 0.052
-2.658 -3.818 6.564
! Size of the total moment   0.00 μB per atom
! Formation energy from the elements   0.3 eV/f.u.
! Crystal system   tetragonal

(7)
! Cs2RbTl (PBE, relaxed); values from VASP
&SYSTEM
  ibrav = 0, nat = 16, ntyp = 3
/
ATOMIC_SPECIES
Cs 132.91 Cs.upf
Rb 85.47 Rb.upf
Tl 204.38 Tl.upf
ATOMIC_POSITIONS crystal
Cs 0.751 0.082 0.167
Cs 0.251 0.418 0.833
Cs 0.249 0.918 0.833
Cs 0.749 0.582 0.167
Cs 0.718 0.646 0.789
Cs 0.218 0.854 0.211
Cs 0.282 0.354 0.211
Cs 0.782 0.146 0.789
Rb 0.499 0.189 0.499
Rb 0.999 0.311 0.501
Rb 0.501 0.811 0.501
Rb 0.001 0.689 0.499
Tl 0.638 0.461 0.423
Tl 0.138 0.039 0.577
Tl 0.362 0.539 0.577
Tl 0.862 0.961 0.423
CELL_PARAMETERS angstrom
8.835 0.000 0.000
0.000 10.376 -5.005
0.000 -0.043 13.242
! Size of the total moment   0.00 μB per atom
! Excess energy over the best structure of this formula in the dataset   0 meV per atom
! Formation energy from the elements   -0.1 eV/f.u.
! Crystal system   monoclinic

(8)
! Li2ScPt (PBE, relaxed); values from VASP
&SYSTEM
  ibrav = 0, nat = 4, ntyp = 3
/
ATOMIC_SPECIES
Li 6.94 Li.upf
Pt 195.08 Pt.upf
Sc 44.96 Sc.upf
ATOMIC_POSITIONS crystal
Li 0.000 0.000 0.047
Li 0.000 0.000 0.453
Pt 0.500 0.500 0.250
Sc 0.500 0.500 0.750
CELL_PARAMETERS angstrom
3.497 0.001 0.000
-0.001 3.497 0.000
0.000 0.000 5.381
! Size of the total moment   0.00 μB per atom
! Excess energy over the best structure of this formula in the dataset   262 meV per atom
! Formation energy from the elements   -1.3 eV/f.u.
! Crystal system   tetragonal

(9)
! La3DyEr2As6 (PBE, relaxed); values from VASP
&SYSTEM
  ibrav = 0, nat = 12, ntyp = 4
/
ATOMIC_SPECIES
La 138.91 La.upf
Dy 162.50 Dy.upf
Er 167.26 Er.upf
As 74.92 As.upf
ATOMIC_POSITIONS crystal
La 0.166 0.834 0.500
La 0.834 0.166 0.500
La 0.500 0.500 0.500
Dy 0.000 0.000 0.000
Er 0.333 0.667 0.000
Er 0.667 0.333 0.000
As 0.922 0.587 0.765
As 0.744 0.744 0.235
As 0.078 0.413 0.235
As 0.587 0.922 0.765
As 0.256 0.256 0.765
As 0.413 0.078 0.235
CELL_PARAMETERS angstrom
7.342 -0.001 0.001
-3.670 6.359 0.001
-1.224 -2.120 6.908
! Size of the total moment   0.00 μB per atom
! Formation energy from the elements   -18.4 eV/f.u.
! Crystal system   monoclinic

(10)
! TaBeO3 (PBE, relaxed); values from VASP
&SYSTEM
  ibrav = 0, nat = 5, ntyp = 3
/
ATOMIC_SPECIES
Be 9.01 Be.upf
O 16.00 O.upf
Ta 180.95 Ta.upf
ATOMIC_POSITIONS crystal
Be 0.500 0.500 0.500
O 0.000 0.500 0.000
O 0.000 0.000 0.500
O 0.500 0.000 0.000
Ta 0.000 0.000 0.000
CELL_PARAMETERS angstrom
-3.540 0.534 1.647
0.583 -3.162 2.278
1.630 2.290 2.762
! Size of the total moment   0.17 μB per atom
! ΔE_f (raw)   -1562 meV/atom
! Crystal system   cubic

(11)
! CsPH2O4 (PBE, relaxed); values from VASP
&SYSTEM
  ibrav = 0, nat = 16, ntyp = 4
/
ATOMIC_SPECIES
Cs 132.91 Cs.upf
P 30.97 P.upf
H 1.01 H.upf
O 16.00 O.upf
ATOMIC_POSITIONS crystal
Cs 0.782 0.724 0.732
Cs 0.282 0.276 0.268
P 0.770 0.800 0.234
P 0.270 0.200 0.766
H 0.017 0.966 0.025
H 0.517 0.034 0.975
H 0.775 0.329 0.347
H 0.275 0.671 0.653
O 0.979 0.792 0.130
O 0.479 0.208 0.870
O 0.582 0.801 0.118
O 0.082 0.199 0.882
O 0.275 0.969 0.675
O 0.775 0.031 0.325
O 0.778 0.511 0.384
O 0.278 0.489 0.616
CELL_PARAMETERS angstrom
-2.554 5.904 0.606
-4.472 -1.823 -1.083
-3.285 -2.140 7.006
! Size of the total moment   0.00 μB per atom
! E   -5.953 eV per atom
! Crystal system   monoclinic